No. 1
# Na3SnAu

A geometry-optimized Na3SnAu structure (GGA-PBE, Alexandria via LeMat-Bulk).

## Properties
Its formation energy is -0.170 eV/atom. As for the total energy: -2.42 eV/atom. As for the energy above the lowest structure with this stoichiometry: 0.061 eV per atom.

a b c (Å): 7.1572 7.1572 7.5523
angles (deg): 107.46 118.86 100.02
With the nearest neighbours (Å) after each atom.
Atoms (fractional coordinates):
1 Na 0.8397 0.0181 0.2510  2 Au 2.93-3.14
2 Na 0.2329 0.4113 0.2510  2 Au 2.93-3.14
3 Na 0.7671 0.5887 0.7490  2 Au 2.93-3.14
4 Na 0.7181 0.4461 0.1642  1 Au 2.94, 1 Sn 3.24
5 Na 0.1603 0.9819 0.7490  2 Au 2.93-3.14
6 Na 0.2819 0.5539 0.8358  1 Au 2.94, 1 Sn 3.24
7 Sn 0.7218 0.0735 0.7953  2 Au 2.72-2.76
8 Sn 0.2782 0.9265 0.2047  2 Au 2.72-2.76
9 Au 0.6210 0.7808 0.4018  2 Sn 2.72-2.76, 3 Na 2.93-2.94
10 Au 0.3790 0.2192 0.5982  2 Sn 2.72-2.76, 3 Na 2.93-2.94



No. 2
# NaSn4Au5

A geometry-optimized NaSn4Au5 structure (GGA-PBE, Alexandria via LeMat-Bulk).

## Properties
Its formation energy is -0.185 eV/atom. As for the total energy: -3.56 eV/atom.

a b c (Å): 5.7111 7.0402 7.0402
angles (deg): 80.53 66.07 66.07
With the nearest neighbours (Å) after each atom.
Atoms (fractional coordinates):
1 Na 0.0016 0.0000 0.0000  6 Au 2.86-3.16
2 Sn 0.3692 0.4075 0.8559  6 Au 2.78-2.97
3 Sn 0.7767 0.8559 0.5925  6 Au 2.78-2.97
4 Sn 0.2250 0.1441 0.4075  6 Au 2.78-2.97
5 Sn 0.6326 0.5925 0.1441  6 Au 2.78-2.97
6 Au 0.9178 0.4199 0.7463  5 Sn 2.79-2.97
7 Au 0.3377 0.7463 0.5801  5 Sn 2.79-2.97
8 Au 0.6641 0.2537 0.4199  5 Sn 2.79-2.97
9 Au 0.0840 0.5801 0.2537  5 Sn 2.79-2.97
10 Au 0.5015 0.0000 0.0000  4 Sn 2.78, 2 Na 2.86



No. 3
# Na6Sn2Au

A geometry-optimized Na6Sn2Au structure (GGA-PBE, Alexandria via LeMat-Bulk).

## Properties
Its formation energy is -0.230 eV/atom. As for the total energy: -2.36 eV/atom.

a b c (Å): 5.4305 5.4305 10.5948
angles (deg): 75.15 75.15 60.00
With the nearest neighbours (Å) after each atom.
Atoms (fractional coordinates):
1 Na 0.5775 0.5775 0.2676  3 Sn 3.14, 3 Na 3.50
2 Na 0.8068 0.8068 0.5796  4 Sn 3.19-3.51, 7 Na 3.31-3.53
3 Na 0.6977 0.6977 0.9070  3 Au 3.27, 8 Na 3.31-3.66, 3 Sn 3.58
4 Na 0.1932 0.1932 0.4204  4 Sn 3.19-3.51, 7 Na 3.31-3.53
5 Na 0.4225 0.4225 0.7324  3 Sn 3.14, 3 Na 3.50
6 Na 0.3023 0.3023 0.0930  3 Au 3.27, 8 Na 3.31-3.66, 3 Sn 3.58
7 Sn 0.9120 0.9120 0.2640  1 Au 2.67
8 Sn 0.0880 0.0880 0.7360  1 Au 2.67
9 Au 0.0000 0.0000 0.0000  2 Sn 2.67



No. 4
# NaSn4Au6

A geometry-optimized NaSn4Au6 structure (GGA-PBE, Alexandria via LeMat-Bulk).

## Properties
Its formation energy is -0.145 eV/atom. As for the total energy: -3.51 eV/atom.

a b c (Å): 7.3760 7.3760 7.3760
angles (deg): 83.67 123.72 123.72
With the nearest neighbours (Å) after each atom.
Atoms (fractional coordinates):
1 Na 0.0000 0.0000 0.0000  8 Au 3.28-3.48, 4 Sn 3.30
2 Sn 0.0000 0.1472 0.5609  6 Au 2.73-2.97
3 Sn 0.5863 0.4391 0.4391  6 Au 2.73-2.97
4 Sn 0.0000 0.5609 0.1472  6 Au 2.73-2.97
5 Sn 0.4137 0.8528 0.8528  6 Au 2.73-2.97
6 Au 0.0000 0.8176 0.4262  4 Sn 2.73-2.95, 2 Au 2.85
7 Au 0.0000 0.4262 0.8176  4 Sn 2.73-2.95, 2 Au 2.85
8 Au 0.6087 0.1824 0.1824  4 Sn 2.73-2.95, 2 Au 2.85
9 Au 0.5000 0.0000 0.5000  4 Au 2.85, 4 Sn 2.97
10 Au 0.3913 0.5738 0.5738  4 Sn 2.73-2.95, 2 Au 2.85
11 Au 0.5000 0.5000 0.0000  4 Au 2.85, 4 Sn 2.97



No. 5
# NaSn8Au6

A geometry-optimized NaSn8Au6 structure (GGA-PBE, Alexandria via LeMat-Bulk).

## Properties
Its formation energy is -0.154 eV/atom. As for the total energy: -3.69 eV/atom.

a b c (Å): 9.7194 7.9413 6.6210
angles (deg): 78.20 62.19 112.94
With the nearest neighbours (Å) after each atom.
Atoms (fractional coordinates):
1 Na 0.0000 0.0000 0.0000  4 Au 3.06-3.08, 2 Sn 3.39
2 Sn 0.2100 0.6018 0.9192  4 Au 2.84-2.93
3 Sn 0.0922 0.8577 0.4629  5 Au 2.78-3.09
4 Sn 0.5052 0.1504 0.8134  3 Au 2.78-3.01, 1 Sn 3.00
5 Sn 0.6106 0.6087 0.6001  4 Au 2.80-2.95
6 Sn 0.3894 0.3913 0.3999  4 Au 2.80-2.95
7 Sn 0.4948 0.8496 0.1866  3 Au 2.78-3.01, 1 Sn 3.00
8 Sn 0.9078 0.1423 0.5371  5 Au 2.78-3.09
9 Sn 0.7900 0.3982 0.0808  4 Au 2.84-2.93
10 Au 0.1028 0.4704 0.6099  6 Sn 2.85-3.09, 1 Au 3.08
11 Au 0.3326 0.0037 0.5942  4 Sn 2.78-2.84, 1 Au 2.92, 1 Na 3.08
12 Au 0.2643 0.2788 0.0897  6 Sn 2.85-2.95, 1 Na 3.06
13 Au 0.7357 0.7212 0.9103  6 Sn 2.85-2.95, 1 Na 3.06
14 Au 0.6674 0.9963 0.4058  4 Sn 2.78-2.84, 1 Au 2.92, 1 Na 3.08
15 Au 0.8972 0.5296 0.3901  6 Sn 2.85-3.09, 1 Au 3.08



No. 6
# Na5SnAu

A geometry-optimized Na5SnAu structure (GGA-PBE, Alexandria via LeMat-Bulk).

## Properties
Its formation energy is -0.174 eV/atom. As for the total energy: -2.16 eV/atom. As for the energy above the lowest structure with this stoichiometry: 0.000 eV per atom.

a b c (Å): 5.1564 5.1564 15.1220
angles (deg): 89.99 89.99 89.87
With the nearest neighbours (Å) after each atom.
Atoms (fractional coordinates):
1 Na 0.5008 0.9989 0.8877  2 Au 3.08-3.09, 2 Sn 3.31-3.32, 3 Na 3.31-3.40
2 Na 0.4992 0.0013 0.3878  2 Au 3.08-3.09, 3 Na 3.31-3.39, 2 Sn 3.31-3.32
3 Na 0.9989 0.5008 0.3877  2 Au 3.08-3.09, 2 Sn 3.31-3.32, 3 Na 3.31-3.40
4 Na 0.0010 0.9990 0.7500  8 Na 3.31-3.32, 4 Sn 3.64-3.65
5 Na 0.9987 0.5008 0.1122  2 Au 3.08-3.09, 3 Na 3.31-3.39, 2 Sn 3.31-3.32
6 Na 0.0013 0.4992 0.8878  2 Au 3.08-3.09, 3 Na 3.31-3.39, 2 Sn 3.31-3.32
7 Na 0.9990 0.0010 0.2500  8 Na 3.31-3.32, 4 Sn 3.64-3.65
8 Na 0.0011 0.4992 0.6123  2 Au 3.08-3.09, 2 Sn 3.31-3.32, 3 Na 3.31-3.40
9 Na 0.5008 0.9987 0.6122  2 Au 3.08-3.09, 3 Na 3.31-3.39, 2 Sn 3.31-3.32
10 Na 0.4992 0.0011 0.1123  2 Au 3.08-3.09, 2 Sn 3.31-3.32, 3 Na 3.31-3.40
11 Sn 0.5013 0.4987 0.7500  12 Na 3.31-3.65
12 Sn 0.4987 0.5013 0.2500  12 Na 3.31-3.65
13 Au 0.0000 0.0000 0.0000  8 Na 3.08-3.09
14 Au 0.0000 0.0000 0.5000  8 Na 3.08-3.09



For each record above, in turn, the calculated total magnetization values are 0.0, 0.0, 0.0, 0.0, 0.0, 0.0 μB per formula unit.
For each record above, in turn, the calculated Fermi-level density of states values are 4.112, 3.009, 2.767, 4.179, 6.131, 6.507 states/eV/cell.